# 1
Material: LuOF
Method: DFT, GGA-PBE
State: optimized geometry

Lattice parameters (Å, degrees): 3.6729 3.6729 6.4717 73.51 106.49 120.00
Last column: nearest neighbours and their distance in Å.
Element x y z (fractional)
F 0.3698 0.6302 0.1095  4 Lu 2.36, 3 F 2.51, 3 O 2.63
F 0.6302 0.3698 0.8905  4 Lu 2.36, 3 F 2.51, 3 O 2.63
Lu 0.7591 0.2409 0.2772  4 O 2.19, 4 F 2.36
Lu 0.2409 0.7591 0.7228  4 O 2.19, 4 F 2.36
O 0.1214 0.8786 0.3641  4 Lu 2.19
O 0.8786 0.1214 0.6359  4 Lu 2.19

Final energy   -7.707 eV/atom
Total moment   0.00 μB per formula unit
Space-group type   R-3m, No. 166

=====

# 2
Material: LuOF
Method: DFT, GGA-PBE
State: optimized geometry

Lattice parameters (Å, degrees): 3.7127 3.7127 5.2827 90.00 90.00 90.00
Last column: nearest neighbours and their distance in Å.
Element x y z (fractional)
F 0.0000 0.0000 0.0000  4 Lu 2.41, 4 F 2.63, 2 O 2.64
F 0.5000 0.5000 0.0000  4 Lu 2.41, 4 F 2.63, 2 O 2.64
Lu 0.5000 0.0000 0.2901  4 O 2.16, 4 F 2.41
Lu 0.0000 0.5000 0.7099  4 O 2.16, 4 F 2.41
O 0.0000 0.0000 0.5000  4 Lu 2.16
O 0.5000 0.5000 0.5000  4 Lu 2.16

Final energy   -7.696 eV/atom
Total moment   0.00 μB per formula unit
Space-group type   P4/nmm, No. 129

=====

# 3
Material: LuOF
Method: DFT, GGA-PBE
State: optimized geometry

Lattice parameters (Å, degrees): 5.0101 5.0101 6.7480 90.00 90.00 90.00
Last column: nearest neighbours and their distance in Å.
Element x y z (fractional)
F 0.7028 0.7028 0.0000  3 Lu 2.23-2.31
F 0.7972 0.2028 0.2500  3 Lu 2.23-2.31
F 0.2972 0.2972 0.5000  3 Lu 2.23-2.31
F 0.2028 0.7972 0.7500  3 Lu 2.23-2.31
Lu 0.0292 0.0292 0.0000  3 O 2.05-2.13, 2 F 2.23
Lu 0.4708 0.5292 0.2500  3 O 2.05-2.13, 2 F 2.23
Lu 0.9708 0.9708 0.5000  3 O 2.05-2.13, 2 F 2.23
Lu 0.5292 0.4708 0.7500  3 O 2.05-2.13, 2 F 2.23
O 0.3184 0.3184 0.0000  3 Lu 2.05-2.13
O 0.1816 0.8184 0.2500  3 Lu 2.05-2.13
O 0.6816 0.6816 0.5000  3 Lu 2.05-2.13
O 0.8184 0.1816 0.7500  3 Lu 2.05-2.13

Final energy   -7.598 eV/atom
Total moment   0.00 μB per formula unit
Space-group type   P4_12_12, No. 92

=====

# 4
Material: LuOF
Method: DFT, GGA-PBE
State: optimized geometry

Lattice parameters (Å, degrees): 3.8386 3.5943 5.3295 90.00 90.00 90.00
Last column: nearest neighbours and their distance in Å.
Element x y z (fractional)
F 0.0000 0.0000 0.4789  4 Lu 2.30-2.54
F 0.5000 0.5000 0.5211  4 Lu 2.30-2.54
Lu 0.0000 0.5000 0.2085  4 O 2.15-2.19, 2 F 2.30
Lu 0.5000 0.0000 0.7915  4 O 2.15-2.19, 2 F 2.30
O 0.5000 0.5000 0.0248  4 Lu 2.15-2.19
O 0.0000 0.0000 0.9752  4 Lu 2.15-2.19

Final energy   -7.696 eV/atom
Total moment   0.00 μB per formula unit
Space-group type   Pmmn, No. 59

=====

# 5
Material: LuOF
Method: DFT, GGA-PBE
State: optimized geometry

Lattice parameters (Å, degrees): 5.5293 5.5293 6.2881 111.62 111.62 99.33
Last column: nearest neighbours and their distance in Å.
Element x y z (fractional)
F 0.5000 0.0000 0.0000  2 Lu 2.15
F 0.5000 0.5000 0.0000  2 Lu 2.15
F 0.0000 0.0000 0.5000  2 Lu 2.15
F 0.5000 0.0000 0.5000  2 Lu 2.15
Lu 0.3252 0.1748 0.2500  2 F 2.15, 4 O 2.19
Lu 0.9248 0.5752 0.2500  2 F 2.15, 4 O 2.19
Lu 0.0752 0.4248 0.7500  2 F 2.15, 4 O 2.19
Lu 0.6748 0.8252 0.7500  2 F 2.15, 4 O 2.19
O 0.0092 0.7592 0.0184  4 Lu 2.19
O 0.7408 0.4908 0.4816  4 Lu 2.19
O 0.2592 0.5092 0.5184  4 Lu 2.19
O 0.9908 0.2408 0.9816  4 Lu 2.19

Final energy   -7.699 eV/atom
Total moment   0.00 μB per formula unit
Space-group type   Fddd, No. 70

=====

# 6
Material: LuPbO3F
Method: DFT, GGA-PBE
State: optimized geometry

Lattice parameters (Å, degrees): 3.5676 6.6599 6.6618 77.19 75.16 88.43
Last column: nearest neighbours and their distance in Å.
Element x y z (fractional)
F 0.0781 0.1832 0.3726  2 Lu 2.27-2.29, 1 Pb 2.51
F 0.9219 0.8168 0.6274  2 Lu 2.27-2.29, 1 Pb 2.51
Lu 0.6347 0.3843 0.2407  6 O 2.18-2.40, 2 F 2.27-2.29
Lu 0.3653 0.6157 0.7593  6 O 2.18-2.40, 2 F 2.27-2.29
O 0.1833 0.5622 0.1238  3 Lu 2.18-2.29, 1 Pb 2.20
O 0.6854 0.0662 0.1345  3 Pb 2.21-2.33, 1 Lu 2.37
O 0.5458 0.6859 0.3882  2 Pb 2.18-2.27, 2 Lu 2.33-2.40
O 0.4542 0.3141 0.6118  2 Pb 2.18-2.27, 2 Lu 2.33-2.40
O 0.3146 0.9338 0.8655  3 Pb 2.21-2.33, 1 Lu 2.37
O 0.8167 0.4378 0.8762  3 Lu 2.18-2.29, 1 Pb 2.20
Pb 0.1289 0.8542 0.2303  6 O 2.18-2.33
Pb 0.8711 0.1458 0.7697  6 O 2.18-2.33

Final energy   -6.450 eV/atom
Total moment   0.00 μB per formula unit
Space-group type   P-1, No. 2

=====

# 7
Material: LuReO3F
Method: DFT, GGA-PBE
State: optimized geometry

Lattice parameters (Å, degrees): 4.2134 6.2955 6.9071 69.56 81.39 77.62
Last column: nearest neighbours and their distance in Å.
Element x y z (fractional)
F 0.3209 0.8325 0.3762  2 Lu 2.15-2.18
F 0.6790 0.1675 0.6238  2 Lu 2.15-2.18
Lu 0.8512 0.7768 0.3390  4 O 2.11-2.24, 2 F 2.15-2.18
Lu 0.1487 0.2231 0.6611  4 O 2.11-2.24, 2 F 2.15-2.18
O 0.7669 0.7627 0.0513  1 Re 1.81
O 0.7518 0.1471 0.2294  1 Re 1.80
O 0.1651 0.4422 0.3339  1 Re 1.89
O 0.8348 0.5578 0.6661  1 Re 1.89
O 0.2482 0.8530 0.7706  1 Re 1.80
O 0.2332 0.2375 0.9487  1 Re 1.81
Re 0.4006 0.3450 0.1162  3 O 1.80-1.89
Re 0.5995 0.6549 0.8838  3 O 1.80-1.89

Final energy   -8.103 eV/atom
Total moment   0.00 μB per formula unit
Space-group type   P-1, No. 2

=====

# 8
Material: Lu3Se4O12F
Method: DFT, GGA-PBE
State: optimized geometry

Lattice parameters (Å, degrees): 9.7871 9.7871 6.9740 90.00 90.00 120.00
Last column: nearest neighbours and their distance in Å.
Element x y z (fractional)
F 0.6667 0.3333 0.0195  3 Lu 2.25
F 0.3333 0.6667 0.5195  3 Lu 2.25
Lu 0.0696 0.5268 0.4866  6 O 2.18-2.41, 1 F 2.25
Lu 0.4732 0.5428 0.4866  6 O 2.18-2.41, 1 F 2.25
Lu 0.4572 0.9304 0.4866  6 O 2.18-2.41, 1 F 2.25
Lu 0.5428 0.0696 0.9866  6 O 2.18-2.41, 1 F 2.25
Lu 0.5268 0.4572 0.9866  6 O 2.18-2.41, 1 F 2.25
Lu 0.9304 0.4732 0.9866  6 O 2.18-2.41, 1 F 2.25
O 0.3526 0.1202 0.0512  1 Se 1.72
O 0.8798 0.2324 0.0512  1 Se 1.72
O 0.7676 0.6474 0.0512  1 Se 1.72
O 0.1559 0.5373 0.1860  1 Se 1.74
O 0.4627 0.6185 0.1860  1 Se 1.74
O 0.3815 0.8441 0.1860  1 Se 1.74
O 0.6435 0.0916 0.2811  1 Se 1.75
O 0.4481 0.3565 0.2811  1 Se 1.75
O 0.9084 0.5519 0.2811  1 Se 1.75
O 0.3531 0.0787 0.4348  1 Se 1.69
O 0.9213 0.2745 0.4348  1 Se 1.69
O 0.7255 0.6469 0.4348  1 Se 1.69
O 0.2324 0.3526 0.5512  1 Se 1.72
O 0.1202 0.7676 0.5512  1 Se 1.72
O 0.6474 0.8798 0.5512  1 Se 1.72
O 0.6185 0.1559 0.6860  1 Se 1.74
O 0.5373 0.3815 0.6860  1 Se 1.74
O 0.8441 0.4627 0.6860  1 Se 1.74
O 0.0916 0.4481 0.7811  1 Se 1.75
O 0.5519 0.6435 0.7811  1 Se 1.75
O 0.3565 0.9084 0.7811  1 Se 1.75
O 0.2745 0.3531 0.9348  1 Se 1.69
O 0.0787 0.7255 0.9348  1 Se 1.69
O 0.6469 0.9213 0.9348  1 Se 1.69
Se 0.3333 0.6667 0.0741  3 O 1.74
Se 0.8391 0.1320 0.2654  3 O 1.69-1.75
Se 0.2930 0.1609 0.2654  3 O 1.69-1.75
Se 0.8680 0.7070 0.2654  3 O 1.69-1.75
Se 0.6667 0.3333 0.5741  3 O 1.74
Se 0.1320 0.2930 0.7654  3 O 1.69-1.75
Se 0.7070 0.8391 0.7654  3 O 1.69-1.75
Se 0.1609 0.8680 0.7654  3 O 1.69-1.75

Final energy   -6.497 eV/atom
Total moment   0.01 μB per formula unit
Space-group type   P6_3, No. 173

=====

# 9
Material: LuSeO3F
Method: DFT, GGA-PBE
State: optimized geometry

Lattice parameters (Å, degrees): 6.4519 6.7289 6.9686 90.00 98.92 90.00
Last column: nearest neighbours and their distance in Å.
Element x y z (fractional)
F 0.1683 0.3889 0.0250  2 Lu 2.14-2.16
F 0.8317 0.8889 0.4750  2 Lu 2.14-2.16
F 0.1683 0.1111 0.5250  2 Lu 2.14-2.16
F 0.8317 0.6111 0.9750  2 Lu 2.14-2.16
Lu 0.8651 0.8576 0.1751  2 F 2.14-2.16, 5 O 2.22-2.35
Lu 0.1349 0.3576 0.3249  2 F 2.14-2.16, 5 O 2.22-2.35
Lu 0.8651 0.6424 0.6751  2 F 2.14-2.16, 5 O 2.22-2.35
Lu 0.1349 0.1424 0.8249  2 F 2.14-2.16, 5 O 2.22-2.35
O 0.5206 0.8103 0.1337  1 Se 1.71
O 0.1735 0.0350 0.1467  1 Se 1.78
O 0.8237 0.1919 0.2161  1 Se 1.74
O 0.1763 0.6919 0.2839  1 Se 1.74
O 0.8265 0.5350 0.3533  1 Se 1.78
O 0.4794 0.3103 0.3663  1 Se 1.71
O 0.5206 0.6897 0.6337  1 Se 1.71
O 0.1735 0.4650 0.6467  1 Se 1.78
O 0.8237 0.3081 0.7161  1 Se 1.74
O 0.1763 0.8081 0.7839  1 Se 1.74
O 0.8265 0.9650 0.8533  1 Se 1.78
O 0.4794 0.1897 0.8663  1 Se 1.71
Se 0.6407 0.3828 0.2064  3 O 1.71-1.78
Se 0.3593 0.8828 0.2936  3 O 1.71-1.78
Se 0.6407 0.1172 0.7064  3 O 1.71-1.78
Se 0.3593 0.6172 0.7936  3 O 1.71-1.78

Final energy   -6.515 eV/atom
Total moment   0.00 μB per formula unit
Space-group type   P2_1/c, No. 14

=====

# 10
Material: RbLu3F10
Method: DFT, GGA-PBE
State: optimized geometry

Lattice parameters (Å, degrees): 7.4988 7.4988 15.4116 90.00 90.00 114.07
Last column: nearest neighbours and their distance in Å.
Element x y z (fractional)
F 0.3994 0.0911 0.0169  2 Lu 2.14-2.19
F 0.9088 0.6006 0.0169  2 Lu 2.14-2.19
F 0.3146 0.6854 0.0974  2 Lu 2.08
F 0.7509 0.2491 0.1198  2 Lu 2.10
F 0.1609 0.2691 0.1234  2 Lu 2.13-2.16
F 0.7309 0.8391 0.1234  2 Lu 2.13-2.16
F 0.3059 0.0226 0.1802  2 Lu 2.09-2.10
F 0.9774 0.6941 0.1802  2 Lu 2.09-2.10
F 0.4945 0.5055 0.2127  2 Lu 2.13
F 0.0775 0.4225 0.2500  3 Lu 2.21-2.29
F 0.5775 0.9225 0.2500  3 Lu 2.21-2.29
F 0.9945 0.0055 0.2873  2 Lu 2.13
F 0.4774 0.1941 0.3198  2 Lu 2.09-2.10
F 0.8059 0.5226 0.3198  2 Lu 2.09-2.10
F 0.2309 0.3391 0.3766  2 Lu 2.13-2.16
F 0.6609 0.7691 0.3766  2 Lu 2.13-2.16
F 0.2509 0.7491 0.3802  2 Lu 2.10
F 0.8146 0.1854 0.4026  2 Lu 2.08
F 0.4088 0.1006 0.4831  2 Lu 2.14-2.19
F 0.8994 0.5911 0.4831  2 Lu 2.14-2.19
F 0.1006 0.4088 0.5169  2 Lu 2.14-2.19
F 0.5911 0.8994 0.5169  2 Lu 2.14-2.19
F 0.1854 0.8146 0.5974  2 Lu 2.08
F 0.7491 0.2509 0.6198  2 Lu 2.10
F 0.3391 0.2309 0.6234  2 Lu 2.13-2.16
F 0.7691 0.6609 0.6234  2 Lu 2.13-2.16
F 0.1941 0.4774 0.6802  2 Lu 2.09-2.10
F 0.5226 0.8059 0.6802  2 Lu 2.09-2.10
F 0.0055 0.9945 0.7127  2 Lu 2.13
F 0.4225 0.0775 0.7500  3 Lu 2.21-2.29
F 0.9225 0.5775 0.7500  3 Lu 2.21-2.29
F 0.5055 0.4945 0.7873  2 Lu 2.13
F 0.0226 0.3059 0.8198  2 Lu 2.09-2.10
F 0.6941 0.9774 0.8198  2 Lu 2.09-2.10
F 0.2691 0.1609 0.8766  2 Lu 2.13-2.16
F 0.8391 0.7309 0.8766  2 Lu 2.13-2.16
F 0.2491 0.7509 0.8802  2 Lu 2.10
F 0.6854 0.3146 0.9026  2 Lu 2.08
F 0.0911 0.3994 0.9831  2 Lu 2.14-2.19
F 0.6006 0.9088 0.9831  2 Lu 2.14-2.19
Lu 0.0297 0.4773 0.1132  7 F 2.08-2.21
Lu 0.5227 0.9702 0.1132  7 F 2.08-2.21
Lu 0.2592 0.2408 0.2500  7 F 2.10-2.29
Lu 0.7592 0.7408 0.2500  7 F 2.10-2.29
Lu 0.0227 0.4702 0.3868  7 F 2.08-2.21
Lu 0.5298 0.9773 0.3868  7 F 2.08-2.21
Lu 0.4702 0.0227 0.6132  7 F 2.08-2.21
Lu 0.9773 0.5298 0.6132  7 F 2.08-2.21
Lu 0.2408 0.2592 0.7500  7 F 2.10-2.29
Lu 0.7408 0.7592 0.7500  7 F 2.10-2.29
Lu 0.4773 0.0297 0.8868  7 F 2.08-2.21
Lu 0.9702 0.5227 0.8868  7 F 2.08-2.21
Rb 0.0000 0.0000 0.0000  8 F 2.68-2.80
Rb 0.5000 0.5000 0.0000  10 F 2.77-3.08
Rb 0.0000 0.0000 0.5000  10 F 2.77-3.08
Rb 0.5000 0.5000 0.5000  8 F 2.68-2.80

Energy above the lowest structure with this stoichiometry   0.0044 eV/atom
Total moment   0.00 μB per formula unit
Space-group type   Cmce, No. 64

=====

# 11
Material: RbLu3F10
Method: DFT, GGA-PBE
State: optimized geometry

Lattice parameters (Å, degrees): 7.6781 7.6781 4.1463 90.03 90.03 60.02
Last column: nearest neighbours and their distance in Å.
Element x y z (fractional)
F 0.7168 0.7168 0.0460  2 Lu 2.09
F 0.7166 0.0799 0.0481  2 Lu 2.09
F 0.0799 0.7166 0.0481  2 Lu 2.09
F 0.1712 0.1712 0.1825  3 Lu 2.18
F 0.5091 0.0011 0.5234  2 Lu 2.07-2.09
F 0.0011 0.5091 0.5234  2 Lu 2.07-2.09
F 0.0021 0.0021 0.5245  2 Lu 2.07-2.09
F 0.3412 0.3412 0.9403  2 Lu 2.20
F 0.8304 0.3413 0.9432  2 Lu 2.20
F 0.3413 0.8304 0.9432  2 Lu 2.20
Lu 0.4838 0.0147 0.0213  7 F 2.07-2.20
Lu 0.0147 0.4838 0.0213  7 F 2.07-2.20
Lu 0.0146 0.0146 0.0225  7 F 2.07-2.20
Rb 0.5051 0.5051 0.4658  6 F 2.93-3.08

Energy above the lowest structure with this stoichiometry   0.0000 eV/atom
Total moment   0.00 μB per formula unit
Space-group type   Cm, No. 8

=====

# 12
Material: Mg2NbF6
Method: DFT, GGA-PBE
State: optimized geometry

Lattice parameters (Å, degrees): 6.1607 6.1607 2.8615 90.00 90.00 120.00
Last column: nearest neighbours and their distance in Å.
Element x y z (fractional)
F 0.4019 0.2010 0.2243  2 Mg 2.01, 1 Nb 2.24
F 0.7990 0.2010 0.2243  2 Mg 2.01, 1 Nb 2.24
F 0.7990 0.5981 0.2243  2 Mg 2.01, 1 Nb 2.24
F 0.2010 0.4019 0.7757  2 Mg 2.01, 1 Nb 2.24
F 0.2010 0.7990 0.7757  2 Mg 2.01, 1 Nb 2.24
F 0.5981 0.7990 0.7757  2 Mg 2.01, 1 Nb 2.24
Mg 0.3333 0.6667 0.2776  6 F 2.01
Mg 0.6667 0.3333 0.7224  6 F 2.01
Nb 0.0000 0.0000 0.0000  6 F 2.24

Final energy   -5.514 eV/atom
Total moment   2.04 μB per formula unit
Space-group type   P-3m1, No. 164